Co2AsClO4 | PBE with a Hubbard U | relaxed

Unit cell a=6.7568 b=5.0233 c=6.8468 alpha=88.87 beta=90.00 gamma=90.00
Last column: magnetic moment on the atom in μB.
Sites, in units of the cell vectors:
Cl 0.2500 0.8351 0.7635  0.10
O 0.7500 0.6759 0.5459  0.05
Co 0.5000 0.0000 0.0000  2.70
Cl 0.7500 0.1649 0.2365  0.10
Co 0.2500 0.3520 0.7373  2.67
O 0.0451 0.6970 0.2019  0.07
O 0.9549 0.3030 0.7981  0.07
O 0.2500 0.3241 0.4541  0.05
Co 0.0000 0.0000 0.0000  2.70
O 0.2500 0.2460 0.0597  0.08
As 0.2500 0.4945 0.2399  0.02
O 0.7500 0.7540 0.9403  0.08
As 0.7500 0.5055 0.7601  0.02
O 0.4549 0.6970 0.2019  0.07
O 0.5451 0.3030 0.7981  0.07
Co 0.7500 0.6480 0.2627  2.67

Summary:
The symmetry is P2_1/m, No. 11. As for the calculated density: 4.2 g/cm³. The value obtained for the total energy is -91.2 eV/cell.